Entry 1:
The following is a DFT calculation (PBEsol) of a geometry-optimized AgHgBr structure.

Lattice parameters (Å, degrees): 6.569 6.276 3.518 78.75 69.57 31.69
Fractional coordinates of all 3 atoms:
Ag 0.000 0.000 0.000
Hg 0.341 0.341 0.659
Br 0.648 0.648 0.352

Offset from the most stable computed form ... 0.098 eV/atom
Spin magnetization ... 0.00 μB/atom
SG ... No. 42

Entry 2:
The following is a DFT calculation (PBEsol) of a geometry-optimized Ag2Hg2Br structure.

Lattice parameters (Å, degrees): 7.378 7.378 7.378 147.98 147.98 45.91
Fractional coordinates of all 5 atoms:
Ag 0.100 0.100 0.000
Ag 0.900 0.900 0.000
Hg 0.250 0.750 0.500
Hg 0.750 0.250 0.500
Br 0.500 0.500 0.000

Total DFT energy (no corrections) ... -1.8588 eV/atom
Spin magnetization ... 0.00 μB/atom
SG ... No. 139

Entry 3:
The following is a DFT calculation (PBEsol) of a geometry-optimized AgHgBr structure.

Lattice parameters (Å, degrees): 3.769 3.769 5.791 90.00 90.00 120.00
Fractional coordinates of all 3 atoms:
Ag 0.000 0.000 0.000
Hg 0.667 0.333 0.310
Br 0.333 0.667 0.703

Offset from the most stable computed form ... 0.000 eV/atom
Spin magnetization ... 0.00 μB/atom
SG ... No. 156

Entry 4:
The following is a DFT calculation (PBEsol) of a geometry-optimized Ag2HgBr structure.

Lattice parameters (Å, degrees): 4.884 4.884 4.884 60.00 60.00 60.00
Fractional coordinates of all 4 atoms:
Ag 0.250 0.250 0.250
Ag 0.750 0.750 0.750
Hg 0.000 0.000 0.000
Br 0.500 0.500 0.500

Offset from the most stable computed form ... 0.079 eV/atom
Spin magnetization ... 0.00 μB/atom
SG ... No. 225

Entry 5:
The following is a DFT calculation (PBEsol) of a geometry-optimized Ag2HgBr structure.

Lattice parameters (Å, degrees): 8.536 8.536 8.536 23.20 23.20 23.20
Fractional coordinates of all 4 atoms:
Ag 0.000 0.000 0.000
Ag 0.255 0.255 0.255
Hg 0.748 0.748 0.748
Br 0.511 0.511 0.511

Offset from the most stable computed form ... 0.000 eV/atom
Spin magnetization ... 0.00 μB/atom
SG ... No. 160

Entry 6:
The following is a DFT calculation (PBEsol) of a geometry-optimized AgHg2BrO structure.

Lattice parameters (Å, degrees): 4.346 4.346 6.348 90.00 90.00 90.00
Fractional coordinates of all 5 atoms:
Ag 0.000 0.000 0.000
Hg 0.000 0.500 0.500
Hg 0.500 0.000 0.500
Br 0.500 0.500 0.000
O 0.500 0.500 0.500

Total DFT energy (no corrections) ... -2.1068 eV/atom
Spin magnetization ... 0.00 μB/atom
SG ... No. 123

Entry 7:
The following is a DFT calculation (PBEsol) of a geometry-optimized Ag2Hg7P8Br6 structure.

Lattice parameters (Å, degrees): 8.375 8.375 8.103 98.11 98.11 81.15
Fractional coordinates of all 23 atoms:
Ag 0.000 0.500 0.000
Ag 0.500 0.000 0.000
Hg 0.000 0.000 0.500
Hg 0.268 0.635 0.735
Hg 0.274 0.274 0.364
Hg 0.365 0.732 0.265
Hg 0.635 0.268 0.735
Hg 0.726 0.726 0.636
Hg 0.732 0.365 0.265
P 0.075 0.760 0.926
P 0.086 0.086 0.244
P 0.240 0.925 0.074
P 0.436 0.436 0.569
P 0.564 0.564 0.431
P 0.760 0.075 0.926
P 0.914 0.914 0.756
P 0.925 0.240 0.074
Br 0.052 0.635 0.352
Br 0.356 0.356 0.044
Br 0.365 0.948 0.648
Br 0.635 0.052 0.352
Br 0.644 0.644 0.956
Br 0.948 0.365 0.648

Total DFT energy (no corrections) ... -3.1764 eV/atom
Spin magnetization ... 0.00 μB/atom
SG ... No. 12

Entry 8:
The following is a DFT calculation (PBEsol) of a geometry-optimized AgHgSBr structure.

Lattice parameters (Å, degrees): 9.457 4.534 9.642 90.00 90.00 90.00
Fractional coordinates of all 16 atoms:
Ag 0.093 0.000 0.211
Ag 0.407 0.000 0.211
Ag 0.593 0.000 0.789
Ag 0.907 0.000 0.789
Hg 0.000 0.500 0.500
Hg 0.250 0.500 0.774
Hg 0.500 0.500 0.500
Hg 0.750 0.500 0.226
S 0.001 0.500 0.253
S 0.499 0.500 0.253
S 0.501 0.500 0.747
S 0.999 0.500 0.747
Br 0.250 0.000 0.475
Br 0.250 0.000 0.981
Br 0.750 0.000 0.019
Br 0.750 0.000 0.525

Total DFT energy (no corrections) ... -2.7918 eV/atom
Spin magnetization ... 0.00 μB/atom
SG ... No. 51

Please write out number 3 again, unchanged.
The following is a DFT calculation (PBEsol) of a geometry-optimized AgHgBr structure.

Lattice parameters (Å, degrees): 3.769 3.769 5.791 90.00 90.00 120.00
Fractional coordinates of all 3 atoms:
Ag 0.000 0.000 0.000
Hg 0.667 0.333 0.310
Br 0.333 0.667 0.703

Offset from the most stable computed form ... 0.000 eV/atom
Spin magnetization ... 0.00 μB/atom
SG ... No. 156